Entry 1:
Below is an optimized crystal structure of AlH2F, with properties calculated at the PBEsol level.

Computed properties:
The crystal system is cubic. As for the total energy: -3.19 eV per atom.

Lattice parameters (Å, degrees): 3.461 3.461 3.461 60.00 60.00 60.00
Positions (direct):
F  0.000  0.000  0.000
Al  0.500  0.500  0.500
H  0.750  0.750  0.750
H  0.250  0.250  0.250

Entry 2:
Below is an optimized crystal structure of AlHF2, with properties calculated at the PBEsol level.

Computed properties:
The crystal system is trigonal. As for the total energy: -4.02 eV per atom.

Lattice parameters (Å, degrees): 2.669 2.669 5.821 76.75 76.75 60.00
Positions (direct):
F  0.889  0.889  0.333
F  0.111  0.111  0.667
H  0.500  0.500  0.500
Al  0.000  0.000  0.000

Short version: magnetic moment = 0.000 0.000 μB/atom, in the order given.